Computed, not measured: a geometry-optimized CdMoAs2O8 structure at the GGA+U level of DFT.

Unit cell a=5.855 b=5.855 c=5.855 alpha=106.17 beta=106.17 gamma=116.29
Site moments in Bohr magnetons follow the coordinates.
Fractional coordinates of all 12 atoms:
Cd  0.000  0.000  0.000  0.00
Mo  0.250  0.750  0.500  1.88
As  0.750  0.250  0.500  0.00
As  0.500  0.500  0.000  0.03
O  0.378  0.055  0.323  0.00
O  0.327  0.519  0.193  0.01
O  0.327  0.134  0.807  0.01
O  0.732  0.055  0.677  0.00
O  0.866  0.673  0.193  0.01
O  0.945  0.268  0.323  0.00
O  0.945  0.622  0.677  0.00
O  0.481  0.673  0.807  0.01

Summary:
Calculated total energy (eV/atom): -5.92
Calculated volume (Å³ per atom): 12.74